[1]
Here is NpVRu2 after structural relaxation from the Alexandria database. Energies are from PBE.

a = 3.504 Å, b = 4.268 Å, c = 4.268 Å
α = 90.00°, β = 90.00°, γ = 90.00°
Site moments in Bohr magnetons follow the coordinates.
Positions (direct):
Np1 0.500 0.500 0.500  1.77
Ru1 0.000 0.000 0.500  -0.17
Ru2 0.000 0.500 0.000  -0.17
V1 0.500 0.000 0.000  -0.42

Values from the calculation:
Spin magnetization (μB per formula unit): 1.00
Crystal system: tetragonal
ΔH_f (0 K) (meV per atom): 0
ρ (g cm⁻³): 12.748
Density of states at the Fermi level (states/eV per cell): 7.96



[2]
Here is Cs2NaBeAs2 after structural relaxation from the Alexandria database. Energies are from PBE.

a = 7.048 Å, b = 6.465 Å, c = 9.550 Å
α = 109.78°, β = 111.65°, γ = 90.00°
Positions (direct):
Cs1 0.413 0.166 0.331
Cs2 0.587 0.834 0.669
Cs3 0.082 0.334 0.669
Cs4 0.918 0.666 0.331
Na1 0.000 0.750 0.000
Na2 0.000 0.250 0.000
Be1 0.500 0.750 0.000
Be2 0.500 0.250 0.000
As1 0.756 0.071 0.142
As2 0.386 0.571 0.142
As3 0.614 0.429 0.858
As4 0.244 0.929 0.858

Values from the calculation:
Spin magnetization (μB per formula unit): 0.00
Crystal system: orthorhombic
ΔH_f (0 K) (meV per atom): -294
ρ (g cm⁻³): 3.947
Density of states at the Fermi level (states/eV per cell): 8.36



[3]
Here is MgMnIBr2 after structural relaxation from the Alexandria database. Energies are from PBE.

a = 5.181 Å, b = 5.983 Å, c = 5.181 Å
α = 90.00°, β = 90.00°, γ = 90.00°
Site moments in Bohr magnetons follow the coordinates.
Positions (direct):
I1 0.000 0.500 0.000  0.09
Mg1 0.000 0.000 0.000  0.00
Mn1 0.500 0.500 0.500  4.88
Br1 0.000 0.000 0.500  0.03
Br2 0.500 0.000 0.000  0.03

Values from the calculation:
Spin magnetization (μB per formula unit): 5.95
E_tot (eV/atom): -3.51
Crystal system: tetragonal
ρ (g cm⁻³): 3.783
Density of states at the Fermi level (states/eV per cell): 2.39



ρ of number 2 (Cs2NaBeAs2)? 3.947 g cm⁻³



Which value of density of states at the Fermi level does entry 1 give? 7.96 states/eV per cell